(1)
# GaTeH GGA-PBE relaxed
data_GaTeH
_chemical_formula_sum 'Ga6 Te6 H6'
_cell_length_a 4.2229
_cell_length_b 4.2229
_cell_length_c 26.3102
_cell_angle_alpha 90.00
_cell_angle_beta 90.00
_cell_angle_gamma 120.00
_symmetry_space_group_name_H-M 'R 3 m'
_symmetry_Int_Tables_number 160
_symmetry_space_group_name_Hall 'R 3 -2"'
loop_
_atom_site_label
_atom_site_fract_x
_atom_site_fract_y
_atom_site_fract_z
Ga1 0.0000 0.0000 0.0000
Ga2 0.0000 0.0000 0.0976
Te1 0.0000 0.0000 0.2844
Te2 0.0000 0.0000 0.8127
H1 0.0000 0.0000 0.3844
H2 0.0000 0.0000 0.4134
# Energy relative to the lowest polymorph listed for this composition (meV per atom): 110.7

(2)
## Sm3TmTl4Te8 (GGA-PBE)

Data for a relaxed Sm3TmTl4Te8 crystal.

The structure in CIF format:
```
data_Sm3TmTl4Te8
_chemical_formula_sum 'Sm9 Tm3 Tl12 Te24'
_cell_length_a 8.9946
_cell_length_b 8.9946
_cell_length_c 24.5479
_cell_angle_alpha 90.00
_cell_angle_beta 90.00
_cell_angle_gamma 120.00
_symmetry_space_group_name_H-M 'R -3 m'
_symmetry_Int_Tables_number 166
_symmetry_space_group_name_Hall '-R 3 2"'
loop_
_atom_site_label
_atom_site_fract_x
_atom_site_fract_y
_atom_site_fract_z
Sm1 0.0000 0.5000 0.0000
Tm1 0.0000 0.0000 0.0000
Tl1 0.0000 0.0000 0.5000
Tl2 0.0000 0.5000 0.5000
Te1 0.0000 0.0000 0.2603
Te2 0.0070 0.5035 0.7383
```

(3)
## CsTl2ReI8 (GGA-PBE)

Data for a relaxed CsTl2ReI8 crystal.

The structure in CIF format:
```
data_CsTl2ReI8
_chemical_formula_sum 'Cs1 Tl2 Re1 I8'
_cell_length_a 7.005
_cell_length_b 8.029
_cell_length_c 10.455
_cell_angle_alpha 89.86
_cell_angle_beta 89.97
_cell_angle_gamma 67.74
_symmetry_space_group_name_H-M 'P -1'
_symmetry_Int_Tables_number 2
_symmetry_space_group_name_Hall '-P 1'
loop_
_atom_site_label
_atom_site_fract_x
_atom_site_fract_y
_atom_site_fract_z
Cs1 0.000 0.000 0.000
Tl1 0.003 0.500 0.240
Re1 0.000 0.000 0.500
I1 0.233 0.204 0.502
I2 0.249 0.779 0.683
I3 0.252 0.781 0.318
I4 0.312 0.311 0.999
```

(4)
## LaZnGeF (GGA-PBE)

Data for a relaxed LaZnGeF crystal.

The structure in CIF format:
```
data_LaZnGeF
_chemical_formula_sum 'La2 Zn2 Ge2 F2'
_cell_length_a 4.119
_cell_length_b 4.119
_cell_length_c 8.809
_cell_angle_alpha 90.00
_cell_angle_beta 90.00
_cell_angle_gamma 90.00
_symmetry_space_group_name_H-M 'P 4/n m m'
_symmetry_Int_Tables_number 129
loop_
_symmetry_equiv_pos_as_xyz
'x,y,z'
'-x,-y,-z'
'-y+1/2,x,z'
'y+1/2,-x,-z'
'-x+1/2,-y+1/2,z'
'x+1/2,y+1/2,-z'
'y,-x+1/2,z'
'-y,x+1/2,-z'
'x+1/2,-y,-z'
'-x+1/2,y,z'
'-y,-x,-z'
'y,x,z'
'-x,y+1/2,-z'
'x,-y+1/2,z'
'y+1/2,x+1/2,-z'
'-y+1/2,-x+1/2,z'
loop_
_atom_site_label
_atom_site_fract_x
_atom_site_fract_y
_atom_site_fract_z
La1 0.250 0.250 0.182
Zn1 0.250 0.750 0.500
Ge1 0.250 0.250 0.681
F1 0.250 0.750 0.000
```

(5)
## Sn2AuIO (GGA-PBE)

Data for a relaxed Sn2AuIO crystal.

The structure in CIF format:
```
data_Sn2AuIO
_chemical_formula_sum 'Sn2 Au1 I1 O1'
_cell_length_a 5.417
_cell_length_b 5.417
_cell_length_c 5.495
_cell_angle_alpha 90.00
_cell_angle_beta 90.00
_cell_angle_gamma 90.00
_symmetry_space_group_name_H-M 'P 4/m m m'
_symmetry_Int_Tables_number 123
_symmetry_space_group_name_Hall '-P 4 2'
loop_
_atom_site_label
_atom_site_fract_x
_atom_site_fract_y
_atom_site_fract_z
Sn1 0.000 0.500 0.000
Au1 0.000 0.000 0.000
I1 0.000 0.000 0.500
O1 0.500 0.500 0.500
```

(6)
# PmBiB GGA-PBE relaxed
data_PmBiB
_chemical_formula_sum 'Pm4 Bi4 B4'
_cell_length_a 7.147
_cell_length_b 3.194
_cell_length_c 13.017
_cell_angle_alpha 90.00
_cell_angle_beta 102.55
_cell_angle_gamma 90.00
_symmetry_space_group_name_H-M 'C 1 2/m 1'
_symmetry_Int_Tables_number 12
_symmetry_space_group_name_Hall '-C 2y'
loop_
_atom_site_label
_atom_site_fract_x
_atom_site_fract_y
_atom_site_fract_z
Pm1 0.059 0.000 0.143
Bi1 0.154 0.000 0.642
B1 0.220 0.500 0.001
# Calculated formation energy (eV/atom): -0.32

(7)
# NdY6In3 GGA-PBE relaxed
data_NdY6In3
_chemical_formula_sum 'Nd2 Y12 In6'
_cell_length_a 10.091
_cell_length_b 5.227
_cell_length_c 11.387
_cell_angle_alpha 90.00
_cell_angle_beta 100.86
_cell_angle_gamma 90.00
_symmetry_space_group_name_H-M 'P 1 21/m 1'
_symmetry_Int_Tables_number 11
_symmetry_space_group_name_Hall '-P 2yb'
loop_
_atom_site_label
_atom_site_fract_x
_atom_site_fract_y
_atom_site_fract_z
Nd1 0.044 0.250 0.406
Y1 0.086 0.750 0.908
Y2 0.137 0.750 0.219
Y3 0.191 0.250 0.727
Y4 0.280 0.750 0.518
Y5 0.359 0.250 0.318
Y6 0.444 0.750 0.092
In1 0.234 0.250 0.038
In2 0.371 0.750 0.807
In3 0.461 0.250 0.614
# Calculated formation energy (eV/atom): -0.29
# Energy relative to the lowest polymorph listed for this composition (meV per atom): 0.0

Record order is preserved below.
Total magnetic moment: 0.00; 0.00; 2.00; 0.00; 0.00; 0.00; 0.00 μB/cell
Record order is preserved below.
Calculated total energy: -59.71; -210.46; -35.51; -39.49; -14.36; -65.04; -109.41 eV/cell